PBE HoCdRh, relaxed; formation energy = -0.483 eV per atom; space group = F-43m; total energy = -14.29 eV per cell
1.0
-2.010 -4.179 0.145
1.017 -3.177 -3.224
2.501 -3.739 1.135
Rh Ho Cd
1 1 1
Direct
0.250 0.250 0.250
0.000 0.000 0.000
0.500 0.500 0.500

=====

PBE Ho8CdRh2, relaxed; formation energy = -0.343 eV per atom; space group = C2/m; total energy = -56.01 eV per cell
1.0
-4.386 -3.068 -1.044
4.351 -5.579 3.492
-3.430 5.024 5.024
Ho Cd Rh
8 1 2
Direct
0.922 0.927 0.670
0.922 0.670 0.927
0.305 0.613 0.613
0.500 0.754 0.246
0.500 0.246 0.754
0.695 0.387 0.387
0.078 0.330 0.073
0.078 0.073 0.330
0.500 0.000 0.000
0.000 0.305 0.695
0.000 0.695 0.305

=====

PBE Ho4Cd3Rh, relaxed; formation energy = -0.465 eV per atom; space group = P4/mmm; total energy = -32.13 eV per cell
1.0
-1.382 -2.314 -2.360
3.129 -1.739 -0.127
-4.493 -8.917 11.376
Rh Ho Cd
1 4 3
Direct
0.500 0.500 0.000
0.000 0.000 0.894
0.000 0.000 0.106
0.000 0.000 0.371
0.000 0.000 0.629
0.500 0.500 0.242
0.500 0.500 0.500
0.500 0.500 0.758

=====

PBE Ho5Cd2Rh2, relaxed; formation energy = -0.543 eV per atom; space group = Cmce; total energy = -88.62 eV per cell
1.0
-3.462 4.975 4.551
-6.359 -3.785 -0.699
5.143 -2.587 6.740
Ho Cd Rh
10 4 4
Direct
0.000 0.000 0.000
0.500 0.500 0.000
0.827 0.792 0.239
0.173 0.447 0.239
0.327 0.947 0.239
0.673 0.292 0.239
0.173 0.208 0.761
0.827 0.553 0.761
0.673 0.053 0.761
0.327 0.708 0.761
0.000 0.218 0.436
0.500 0.718 0.436
0.000 0.782 0.564
0.500 0.282 0.564
0.634 0.868 0.000
0.366 0.132 0.000
0.134 0.632 0.000
0.866 0.368 0.000

=====

PBE Ho4CdRuRh2, relaxed; formation energy = -0.612 eV per atom; space group = R-3m; total energy = -48.10 eV per cell
1.0
-0.463 1.245 4.723
-3.736 -1.763 2.647
3.106 -6.538 4.576
Ho Cd Ru Rh
4 1 1 2
Direct
0.382 0.382 0.853
0.870 0.870 0.390
0.130 0.130 0.610
0.618 0.618 0.147
0.000 0.000 0.000
0.500 0.500 0.500
0.750 0.750 0.751
0.250 0.250 0.249

=====

PBE HoScCdRh, relaxed; formation energy = -0.637 eV per atom; space group = P4mm; energy above the most stable polymorph in this dataset = 0.0 meV per atom; total energy = -21.72 eV per cell
1.0
3.399 0.000 0.000
0.000 3.399 0.000
0.000 0.000 7.337
Ho Sc Cd Rh
1 1 1 1
Direct
0.500 0.500 0.788
0.500 0.500 0.354
0.000 0.000 0.091
0.000 0.000 0.552

=====

- formation energy of number 3 (Ho4Cd3Rh)?
  -0.465 eV per atom